[1]
Entry from Alexandria via LeMat-Bulk: crystalline TlZn2Mo at its relaxed geometry (PBE).

Computed properties:
Fermi-level density of states in states/eV per cell: 1.1
Energy above the lowest structure with this stoichiometry in eV/atom: 0.3130
Electronic total energy in Ry per atom: -0.24239

abc: 7.3547 7.3547 5.6284
angles: 90.00 90.00 90.00
With the nearest neighbours (Å) after each atom.
Space group I-42d (No. 122)
Symmetry-distinct sites (fractional):
Tl 0.0000 0.0000 0.0000 [4 per cell]  4 Zn 2.77, 2 Mo 2.81
Zn 0.2356 0.2500 0.6250 [8 per cell]  2 Mo 2.62, 2 Tl 2.77, 2 Zn 2.82
Mo 0.0000 0.0000 0.5000 [4 per cell]  4 Zn 2.62, 2 Tl 2.81

[2]
Entry from Alexandria via LeMat-Bulk: crystalline Nd3Al2Pt3 at its relaxed geometry (PBE).

Computed properties:
Fermi-level density of states in states/eV per cell: 12.0
Electronic total energy in Ry per atom: -0.43383

abc: 8.4254 8.4254 5.7598
angles: 90.00 90.00 120.00
With the nearest neighbours (Å) after each atom.
Space group P6_3/mcm (No. 193)
Symmetry-distinct sites (fractional):
Nd 0.0000 0.2704 0.2500 [6 per cell]  5 Pt 2.79-3.07
Al 0.3333 0.6667 0.0000 [4 per cell]  2 Al 2.88, 6 Pt 2.95
Pt 0.0000 0.3982 0.7500 [6 per cell]  5 Nd 2.79-3.07, 4 Al 2.95

[3]
Entry from Alexandria via LeMat-Bulk: crystalline CaTaSb2 at its relaxed geometry (PBE).

Computed properties:
Fermi-level density of states in states/eV per cell: 4.5
E_form (uncorrected) in kcal/mol of atoms: 3.2
Energy above the lowest structure with this stoichiometry in eV/atom: 0.4497
Electronic total energy in Ry per atom: -0.39575

abc: 3.0987 3.0987 11.1420
angles: 90.00 90.00 90.00
With the nearest neighbours (Å) after each atom.
Space group P4mm (No. 99)
Symmetry-distinct sites (fractional):
Ca 0.0000 0.0000 0.0000 [1 per cell]  4 Ca 3.10, 4 Sb 3.37, 4 Ta 3.42
Ta 0.5000 0.5000 0.7645 [1 per cell]  4 Sb 3.06, 4 Ta 3.10, 4 Ca 3.42
Sb 0.0000 0.0000 0.5732 [1 per cell]  4 Ta 3.06, 4 Sb 3.10
Sb 0.5000 0.5000 0.2303 [1 per cell]  4 Sb 3.10, 4 Ca 3.37

[4]
Entry from Alexandria via LeMat-Bulk: crystalline SiPt2 at its relaxed geometry (PBE).

Computed properties:
Fermi-level density of states in states/eV per cell: 11.1
E_form (uncorrected) in kcal/mol of atoms: -9.3
Electronic total energy in Ry per atom: -0.45861

abc: 3.4365 3.4365 32.4177
angles: 90.00 90.00 90.00
With the nearest neighbours (Å) after each atom.
Space group I4_1/amd (No. 141, origin choice 2)
Symmetry-distinct sites (fractional):
Si 0.0000 0.2500 0.3034 [8 per cell]  6 Pt 2.36-2.52
Pt 0.0000 0.2500 0.1034 [8 per cell]  2 Si 2.36
Pt 0.0000 0.2500 0.7832 [8 per cell]  4 Si 2.52, 2 Pt 2.75

[5]
Entry from Alexandria via LeMat-Bulk: crystalline Tc2AgMo at its relaxed geometry (PBE).

Computed properties:
Fermi-level density of states in states/eV per cell: 9.0
Energy above the lowest structure with this stoichiometry in eV/atom: 0.2126
Electronic total energy in Ry per atom: -0.59686

abc: 3.0949 4.5565 9.0126
angles: 90.00 90.00 90.00
With the nearest neighbours (Å) after each atom.
Space group Immm (No. 71)
Symmetry-distinct sites (fractional):
Tc 0.0000 0.0000 0.2274 [4 per cell]  2 Mo 2.57, 4 Tc 2.78
Ag 0.0000 0.5000 0.0000 [2 per cell]  4 Mo 2.75, 8 Tc 2.90-3.06
Mo 0.0000 0.5000 0.5000 [2 per cell]  4 Tc 2.57, 4 Ag 2.75

[6]
Entry from Alexandria via LeMat-Bulk: crystalline Tl6Hg8Pb at its relaxed geometry (PBE).

Computed properties:
Fermi-level density of states in states/eV per cell: 24.9
Electronic total energy in Ry per atom: -0.09820

abc: 9.3335 9.3335 17.6400
angles: 90.00 90.00 120.00
With the nearest neighbours (Å) after each atom.
Space group R-3 (No. 148, hexagonal axes)
Symmetry-distinct sites (fractional):
Tl 0.0043 0.2259 0.4037 [18 per cell]  5 Hg 3.18-3.56
Hg 0.0000 0.0000 0.2222 [6 per cell]  6 Hg 3.10-3.38
Hg 0.0321 0.4164 0.5667 [18 per cell]  3 Hg 3.04-3.38, 1 Pb 3.15, 4 Tl 3.18-3.40
Pb 0.0000 0.0000 0.0000 [3 per cell]  6 Hg 3.15

[7]
Entry from Alexandria via LeMat-Bulk: crystalline TaTlBi2Sb at its relaxed geometry (PBE).

Computed properties:
Fermi-level density of states in states/eV per cell: 3.7
E_form (uncorrected) in kcal/mol of atoms: 8.2
Electronic total energy in Ry per atom: -0.35761

abc: 5.5777 5.5777 5.4114
angles: 90.00 90.00 90.00
With the nearest neighbours (Å) after each atom.
Space group P4/mmm (No. 123)
Symmetry-distinct sites (fractional):
Ta 0.0000 0.0000 0.0000 [1 per cell]  2 Sb 2.71, 4 Bi 2.79
Tl 0.5000 0.5000 0.5000 [1 per cell]  8 Bi 3.89, 4 Sb 3.94
Bi 0.0000 0.5000 0.0000 [2 per cell]  2 Ta 2.79
Sb 0.0000 0.0000 0.5000 [1 per cell]  2 Ta 2.71

[8]
Entry from Alexandria via LeMat-Bulk: crystalline Th3SbRuC at its relaxed geometry (PBE).

Computed properties:
Fermi-level density of states in states/eV per cell: 9.7
E_form (uncorrected) in kcal/mol of atoms: -11.6
Electronic total energy in Ry per atom: -0.58688

abc: 8.7779 3.9711 9.0447
angles: 90.00 109.03 90.00
With the nearest neighbours (Å) after each atom.
Space group P2_1/m (No. 11)
Symmetry-distinct sites (fractional):
Th 0.0465 0.2500 0.3600 [2 per cell]  3 C 2.55-2.62
Th 0.2107 0.2500 0.9564 [2 per cell]  1 C 2.57, 2 Ru 2.79
Th 0.3777 0.7500 0.6816 [2 per cell]  2 C 2.75, 2 Ru 3.04
Sb 0.3065 0.7500 0.2921 [2 per cell]  1 Ru 2.69
Ru 0.4443 0.7500 0.0664 [2 per cell]  2 Ru 2.67, 1 Sb 2.69, 2 Th 2.79
C 0.1540 0.2500 0.6587 [2 per cell]  6 Th 2.55-2.75

[9]
Entry from Alexandria via LeMat-Bulk: crystalline Li2PmErSi2 at its relaxed geometry (PBE).

Computed properties:
Fermi-level density of states in states/eV per cell: 1.4
E_form (uncorrected) in kcal/mol of atoms: -12.9
Electronic total energy in Ry per atom: -0.33495

abc: 4.3992 4.3992 7.2254
angles: 90.00 90.00 120.00
With the nearest neighbours (Å) after each atom.
Space group P-3m1 (No. 164)
Symmetry-distinct sites (fractional):
Li 0.3333 0.6667 0.2195 [2 per cell]  3 Si 2.54
Pm 0.0000 0.0000 0.5000 [1 per cell]  6 Si 3.17, 6 Li 3.25
Er 0.0000 0.0000 0.0000 [1 per cell]  6 Li 2.99, 6 Si 3.06
Si 0.3333 0.6667 0.7627 [2 per cell]  3 Li 2.54

[10]
Entry from Alexandria via LeMat-Bulk: crystalline Ba4Te2N at its relaxed geometry (PBE).

Computed properties:
Fermi-level density of states in states/eV per cell: 4.7
E_form (uncorrected) in kcal/mol of atoms: -24.6
Energy above the lowest structure with this stoichiometry in eV/atom: 0.0350
Electronic total energy in Ry per atom: -0.31254

abc: 13.8897 4.4718 9.1618
angles: 90.00 115.54 90.00
With the nearest neighbours (Å) after each atom.
Space group C2/m (No. 12)
Symmetry-distinct sites (fractional):
Ba 0.0582 0.0000 0.3297 [4 per cell]  1 N 2.77
Ba 0.1430 0.5000 0.0516 [4 per cell]  2 N 2.89
Te 0.1617 0.5000 0.6791 [4 per cell]  8 Ba 3.53-3.93
N 0.0000 0.0000 0.0000 [2 per cell]  6 Ba 2.77-2.89

[11]
Entry from Alexandria via LeMat-Bulk: crystalline Na2LaH at its relaxed geometry (PBE).

Computed properties:
Fermi-level density of states in states/eV per cell: 19.1
Energy above the lowest structure with this stoichiometry in eV/atom: 0.0000
Electronic total energy in Ry per atom: -0.17329

abc: 6.8857 6.8857 9.7582
angles: 90.00 90.00 90.00
With the nearest neighbours (Å) after each atom.
Space group I4_1/amd (No. 141, origin choice 2)
Symmetry-distinct sites (fractional):
Na 0.0000 0.0000 0.0000 [8 per cell]  2 H 2.11
La 0.0000 0.2500 0.3750 [4 per cell]  12 Na 4.04, 4 La 4.22, 4 H 4.22
H 0.0000 0.2500 0.8750 [4 per cell]  4 Na 2.11

[12]
Entry from Alexandria via LeMat-Bulk: crystalline Li2YPd at its relaxed geometry (PBE).

Computed properties:
Fermi-level density of states in states/eV per cell: 5.9
Energy above the lowest structure with this stoichiometry in eV/atom: 0.0218
Electronic total energy in Ry per atom: -0.30332

abc: 3.9894 3.9894 20.9662
angles: 90.00 90.00 90.00
With the nearest neighbours (Å) after each atom.
Space group I-42d (No. 122)
Symmetry-distinct sites (fractional):
Li 0.1924 0.7500 0.1250 [8 per cell]  2 Li 2.52
Y 0.0000 0.0000 0.5000 [4 per cell]  4 Pd 2.82, 4 Li 3.06
Pd 0.0000 0.0000 0.0000 [4 per cell]  4 Y 2.82, 4 Li 2.91

[13]
Entry from Alexandria via LeMat-Bulk: crystalline Hf8Ga2Si at its relaxed geometry (PBE).

Computed properties:
Fermi-level density of states in states/eV per cell: 16.2
E_form (uncorrected) in kcal/mol of atoms: -4.8
Electronic total energy in Ry per atom: -0.62403

abc: 17.6508 4.4735 5.9301
angles: 90.00 103.47 90.00
With the nearest neighbours (Å) after each atom.
Space group C2/m (No. 12)
Symmetry-distinct sites (fractional):
Hf 0.0231 0.0000 0.2620 [4 per cell]  2 Si 2.73, 1 Ga 2.79, 1 Hf 3.02
Hf 0.0950 0.5000 0.9948 [4 per cell]  2 Ga 2.96, 1 Si 3.02, 7 Hf 3.02-3.23
Hf 0.1526 0.5000 0.5165 [4 per cell]  1 Si 2.67, 3 Ga 2.80-2.92
Hf 0.2251 0.0000 0.8312 [4 per cell]  3 Ga 2.86-2.92, 5 Hf 2.99-3.10
Ga 0.1813 0.0000 0.2657 [4 per cell]  9 Hf 2.79-2.96
Si 0.0000 0.5000 0.5000 [2 per cell]  6 Hf 2.67-2.73

[14]
Entry from Alexandria via LeMat-Bulk: crystalline Sm2Er3Tm5 at its relaxed geometry (PBE).

Computed properties:
Fermi-level density of states in states/eV per cell: 55.8
Energy above the lowest structure with this stoichiometry in eV/atom: 0.2285
Electronic total energy in Ry per atom: -0.30276

abc: 9.2661 13.4435 10.7801
angles: 90.00 90.00 90.00
With the nearest neighbours (Å) after each atom.
Space group Ibam (No. 72)
Symmetry-distinct sites (fractional):
Sm 0.1145 0.1460 0.0000 [8 per cell]  3 Tm 2.90-3.24
Er 0.0000 0.0000 0.2500 [4 per cell]  2 Tm 3.41, 4 Sm 3.50, 4 Er 3.78
Er 0.2352 0.1128 0.5000 [8 per cell]  1 Tm 3.15, 1 Sm 3.27
Tm 0.0000 0.2538 0.2500 [8 per cell]  3 Tm 3.24-3.31, 2 Sm 3.24, 1 Er 3.41
Tm 0.0000 0.5000 0.2500 [4 per cell]  6 Tm 3.24-3.31
Tm 0.0748 0.3769 0.5000 [8 per cell]  1 Sm 2.90, 1 Er 3.15, 4 Tm 3.24

[15]
Entry from Alexandria via LeMat-Bulk: crystalline ThFe3Si3 at its relaxed geometry (PBE).

Computed properties:
Fermi-level density of states in states/eV per cell: 9.6
E_form (uncorrected) in kcal/mol of atoms: -6.8
Energy above the lowest structure with this stoichiometry in eV/atom: 0.0000
Electronic total energy in Ry per atom: -0.53712

abc: 8.0401 8.0401 4.0705
angles: 90.00 90.00 120.00
With the nearest neighbours (Å) after each atom.
Space group P6_3/m (No. 176)
Symmetry-distinct sites (fractional):
Th 0.3333 0.6667 0.2500 [2 per cell]  9 Si 3.02-3.22, 3 Fe 3.24
Fe 0.0513 0.8466 0.2500 [6 per cell]  4 Si 2.29-2.36, 4 Fe 2.52
Si 0.0838 0.7162 0.7500 [6 per cell]  4 Fe 2.29-2.36